(1)
# Nd4SiHgI2 (PBE-GGA, optimized geometry)
data_Nd4SiHgI2
_space_group_name_H-M_alt 'P 1'
_space_group_IT_number 1
_cell_length_a 7.8120
_cell_length_b 4.3312
_cell_length_c 7.9172
_cell_angle_alpha 90.00
_cell_angle_beta 107.60
_cell_angle_gamma 90.00
loop_
_space_group_symop_operation_xyz
'x,y,z'
loop_
_atom_site_label
_atom_site_fract_x
_atom_site_fract_y
_atom_site_fract_z
Nd1 0.2227 0.0000 0.2068
Nd2 0.2505 0.5000 0.7837
Nd3 0.7495 0.5000 0.2163
Nd4 0.7773 0.0000 0.7932
Si1 0.0000 0.5000 0.0000
Hg1 0.5000 0.0000 0.0000
I1 0.0000 0.0000 0.5000
I2 0.5000 0.5000 0.5000
# Magnetization, μB/f.u.: 0.00
# Electronic total energy, eV/atom: -4.2642
# Crystal system: monoclinic

---

(2)
# GaNi2H2 (PBE-GGA, optimized geometry)
data_GaNi2H2
_space_group_name_H-M_alt 'P 1'
_space_group_IT_number 1
_cell_length_a 4.9613
_cell_length_b 4.9613
_cell_length_c 4.9613
_cell_angle_alpha 144.36
_cell_angle_beta 144.36
_cell_angle_gamma 51.29
loop_
_space_group_symop_operation_xyz
'x,y,z'
loop_
_atom_site_label
_atom_site_fract_x
_atom_site_fract_y
_atom_site_fract_z
Ga1 0.0000 0.0000 0.0000
Ni1 0.3483 0.3483 0.0000
Ni2 0.6517 0.6517 0.0000
H1 0.2500 0.7500 0.5000
H2 0.7500 0.2500 0.5000
# Magnetization, μB/f.u.: 0.00
# Electronic total energy, eV/atom: -4.3927
# Crystal system: tetragonal

---

(3)
# Tl2CoIr (PBE-GGA, optimized geometry)
data_Tl2CoIr
_space_group_name_H-M_alt 'P 1'
_space_group_IT_number 1
_cell_length_a 3.1034
_cell_length_b 3.1034
_cell_length_c 8.8230
_cell_angle_alpha 90.00
_cell_angle_beta 90.00
_cell_angle_gamma 118.67
loop_
_space_group_symop_operation_xyz
'x,y,z'
loop_
_atom_site_label
_atom_site_fract_x
_atom_site_fract_y
_atom_site_fract_z
Tl1 0.0000 0.0000 0.2404
Tl2 0.0000 0.0000 0.7596
Co1 0.5000 0.5000 0.0000
Ir1 0.5000 0.5000 0.5000
# Formation energy from the elements, eV per atom: 0.71
# Magnetization, μB/f.u.: 1.18
# Electronic total energy, eV/atom: -4.4642
# Crystal system: orthorhombic